SrTi2Hg | PBE | relaxed

Cell and atoms, written as POSCAR:
```
SrTi2Hg
1.0
-2.122 2.255 -3.376
2.187 -2.575 -3.094
-7.963 -7.276 -2.963
Sr Hg Ti
2 2 4
Direct
0.500 0.500 0.000
0.250 0.750 0.500
0.000 0.000 0.000
0.750 0.250 0.500
0.839 0.125 0.250
0.911 0.625 0.250
0.375 0.161 0.750
0.875 0.089 0.750
```

Computed properties:
Space-group type: I-42d (122)
ΔE_f (eV per formula unit): 2.1

Sr2TiHg2 | PBE | relaxed

Cell and atoms, written as POSCAR:
```
Sr2TiHg2
1.0
7.856 0.000 0.000
0.000 7.856 0.000
0.000 0.000 5.004
Sr Hg Ti
4 4 2
Direct
0.171 0.671 0.500
0.671 0.829 0.500
0.829 0.329 0.500
0.329 0.171 0.500
0.358 0.858 0.000
0.858 0.642 0.000
0.642 0.142 0.000
0.142 0.358 0.000
0.000 0.000 0.000
0.500 0.500 0.000
```

Computed properties:
Space-group type: P4/mbm (127)
ΔE_f (eV per formula unit): -0.3

SrTiHg3 | PBE | relaxed

Cell and atoms, written as POSCAR:
```
SrTiHg3
1.0
5.912 0.000 0.000
0.000 5.912 0.000
0.000 0.000 5.912
Sr Hg Ti
1 3 1
Direct
0.000 0.000 0.000
0.000 0.500 0.000
0.000 0.000 0.500
0.500 0.000 0.000
0.500 0.500 0.500
```

Computed properties:
Space-group type: Pm-3m (221)
Energy relative to the lowest polymorph listed for this composition (meV per atom): 992
ΔE_f (eV per formula unit): 5.0

Sr2TiHgW | PBE | relaxed

Cell and atoms, written as POSCAR:
```
Sr2TiHgW
1.0
6.033 0.000 0.000
0.000 5.078 0.000
0.000 0.000 6.033
Sr Hg W Ti
2 1 1 1
Direct
0.000 0.000 0.500
0.500 0.000 0.000
0.000 0.500 0.000
0.500 0.500 0.500
0.000 0.000 0.000
```

Computed properties:
Space-group type: P4/mmm (123)
ΔE_f (eV per formula unit): 8.4

SrTi2ZnHg | PBE | relaxed

Cell and atoms, written as POSCAR:
```
SrTi2ZnHg
1.0
-2.895 -1.301 4.256
2.794 -4.101 0.647
3.320 2.751 3.099
Sr Zn Hg Ti
1 1 1 2
Direct
0.500 0.500 0.500
0.000 0.500 0.000
0.000 0.000 0.000
0.000 0.000 0.500
0.500 0.000 0.000
```

Computed properties:
Space-group type: P4/mmm (123)
ΔE_f (eV per formula unit): 3.5

SrTl2Hg2 | PBE | relaxed

Cell and atoms, written as POSCAR:
```
SrTl2Hg2
1.0
-9.263 3.991 4.530
-5.554 -2.382 -9.259
-1.054 -4.469 1.782
Sr Tl Hg
4 8 8
Direct
0.359 0.359 0.000
0.641 0.641 0.000
0.859 0.141 0.500
0.141 0.859 0.500
0.645 0.021 0.000
0.355 0.979 0.000
0.521 0.855 0.500
0.145 0.479 0.500
0.479 0.145 0.500
0.855 0.521 0.500
0.021 0.645 0.000
0.979 0.355 0.000
0.697 0.303 0.000
0.303 0.697 0.000
0.803 0.803 0.500
0.197 0.197 0.500
0.094 0.094 0.000
0.906 0.906 0.000
0.594 0.406 0.500
0.406 0.594 0.500
```

Computed properties:
Space-group type: P4_2/mnm (136)
Energy relative to the lowest polymorph listed for this composition (meV per atom): 0
ΔE_f (eV per formula unit): -1.4

Sr4TlHg2 | PBE | relaxed

Cell and atoms, written as POSCAR:
```
Sr4TlHg2
1.0
-2.605 -0.245 -5.042
-0.210 -4.908 -2.853
-8.933 -3.836 1.601
Sr Tl Hg
4 1 2
Direct
0.875 0.875 0.374
0.125 0.125 0.626
0.624 0.624 0.127
0.376 0.376 0.873
0.000 0.000 0.000
0.750 0.750 0.750
0.250 0.250 0.250
```

Computed properties:
Space-group type: R-3m (166)
ΔE_f (eV per formula unit): -2.9

SrTlHg | PBE | relaxed

Cell and atoms, written as POSCAR:
```
SrTlHg
1.0
5.211 0.000 0.000
-2.606 4.513 0.000
0.000 0.000 3.936
Sr Tl Hg
1 1 1
Direct
0.667 0.333 0.333
0.333 0.667 0.832
0.000 0.000 0.834
```

Computed properties:
Space-group type: P3m1 (156)
Energy relative to the lowest polymorph listed for this composition (meV per atom): 3
ΔE_f (eV per formula unit): -1.2